Computed, not measured: a crystal of KLi2Re relaxed with PBEsol at the SCAN level of DFT.

Unit cell a=4.958 b=4.958 c=4.958 alpha=60.00 beta=60.00 gamma=60.00
Site moments in Bohr magnetons follow the coordinates.
Sites, in units of the cell vectors:
K (0.500, 0.500, 0.500)  0.03
Li (0.000, 0.000, 0.000)  -0.01
Li (0.750, 0.750, 0.750)  -0.02
Re (0.250, 0.250, 0.250)  2.14

**Formation energy from the elements**: 1.405 eV/atom
**Uncorrected energy**: -19.646 eV/atom
**Volume**: 86 Å³/cell
**Excess energy over the best structure of this formula in the dataset**: 0.737 eV per atom



Computed, not measured: a crystal of K2LiRe relaxed with PBEsol at the SCAN level of DFT.

Unit cell a=2.801 b=2.801 c=12.366 alpha=90.00 beta=90.00 gamma=101.28
Sites, in units of the cell vectors:
K (0.000, 0.000, 0.223)
K (0.000, 0.000, 0.777)
Li (0.500, 0.500, 0.500)
Re (0.500, 0.500, 0.000)

**Formation energy from the elements**: 1.089 eV/atom
**Uncorrected energy**: -21.447 eV/atom
**Volume**: 95 Å³/cell
**Excess energy over the best structure of this formula in the dataset**: 0.016 eV per atom



Computed, not measured: a crystal of K2LiRe relaxed with PBEsol at the SCAN level of DFT.

Unit cell a=2.800 b=2.800 c=12.463 alpha=90.00 beta=90.00 gamma=90.00
Sites, in units of the cell vectors:
K (0.000, 0.000, 0.939)
K (0.500, 0.500, 0.282)
Li (0.000, 0.000, 0.559)
Re (0.500, 0.500, 0.720)

**Formation energy from the elements**: 1.073 eV/atom
**Uncorrected energy**: -21.464 eV/atom
**Volume**: 98 Å³/cell
**Excess energy over the best structure of this formula in the dataset**: 0.000 eV per atom



Computed, not measured: a crystal of KLi2Re relaxed with PBEsol at the SCAN level of DFT.

Unit cell a=2.670 b=2.670 c=11.010 alpha=90.00 beta=90.00 gamma=97.38
Sites, in units of the cell vectors:
K (0.500, 0.500, 0.000)
Li (0.000, 0.000, 0.310)
Li (0.000, 0.000, 0.690)
Re (0.500, 0.500, 0.500)

**Formation energy from the elements**: 0.668 eV/atom
**Uncorrected energy**: -20.384 eV/atom
**Volume**: 78 Å³/cell
**Excess energy over the best structure of this formula in the dataset**: 0.000 eV per atom



Computed, not measured: a crystal of KLi2Re relaxed with PBEsol at the SCAN level of DFT.

Unit cell a=6.188 b=6.188 c=6.188 alpha=105.08 beta=105.08 gamma=118.66
Site moments in Bohr magnetons follow the coordinates.
Sites, in units of the cell vectors:
Re (0.000, 0.000, 0.000)  2.30
Re (0.250, 0.750, 0.500)  2.30
K (0.500, 0.500, 0.000)  0.01
K (0.750, 0.250, 0.500)  0.01
Li (0.625, 0.658, 0.533)  0.00
Li (0.125, 0.092, 0.467)  0.00
Li (0.908, 0.375, 0.033)  0.00
Li (0.342, 0.875, 0.967)  0.00

**Formation energy from the elements**: 1.434 eV/atom
**Uncorrected energy**: -19.617 eV/atom
**Volume**: 179 Å³/cell
**Excess energy over the best structure of this formula in the dataset**: 0.767 eV per atom



Computed, not measured: a crystal of K2LiRe relaxed with PBEsol at the SCAN level of DFT.

Unit cell a=2.701 b=6.228 c=6.462 alpha=118.81 beta=90.00 gamma=90.00
Site moments in Bohr magnetons follow the coordinates.
Sites, in units of the cell vectors:
K (0.000, 0.500, 0.500)  0.00
K (0.000, 0.000, 0.500)  0.00
Li (0.500, 0.000, 0.000)  -0.01
Re (0.500, 0.500, 0.000)  0.67

**Formation energy from the elements**: 1.265 eV/atom
**Uncorrected energy**: -21.271 eV/atom
**Volume**: 95 Å³/cell
**Excess energy over the best structure of this formula in the dataset**: 0.192 eV per atom



Computed, not measured: a crystal of KLiRe3 relaxed with PBEsol at the SCAN level of DFT.

Unit cell a=4.481 b=4.481 c=4.481 alpha=90.00 beta=90.00 gamma=90.00
Site moments in Bohr magnetons follow the coordinates.
Sites, in units of the cell vectors:
Re (0.000, 0.500, 0.000)  0.65
Re (0.000, 0.000, 0.500)  0.65
Re (0.500, 0.000, 0.000)  0.65
K (0.000, 0.000, 0.000)  0.03
Li (0.500, 0.500, 0.500)  0.00

**Formation energy from the elements**: 4.012 eV/atom
**Uncorrected energy**: -40.790 eV/atom
**Volume**: 90 Å³/cell



Computed, not measured: a crystal of KLiRh2 relaxed with PBEsol at the SCAN level of DFT.

Unit cell a=4.566 b=4.566 c=4.566 alpha=60.00 beta=60.00 gamma=60.00
Site moments in Bohr magnetons follow the coordinates.
Sites, in units of the cell vectors:
K (0.500, 0.500, 0.500)  -0.02
Li (0.250, 0.250, 0.250)  -0.01
Rh (0.000, 0.000, 0.000)  0.96
Rh (0.750, 0.750, 0.750)  0.96

**Formation energy from the elements**: 0.606 eV/atom
**Uncorrected energy**: -18.959 eV/atom
**Volume**: 67 Å³/cell
**Excess energy over the best structure of this formula in the dataset**: 0.285 eV per atom



Which of these has the highest uncorrected energy? KLiRh2